Computed, not measured: a geometry-optimized Ho4NiSb structure at the PBE-GGA level of DFT.

Calculated values
formation energy without anion corrections = -514 meV per atom
energy above the most stable polymorph in this dataset = 0.0000 eV/atom

POSCAR file:
```
Ho4NiSb
1.0
-5.2860 0.2771 2.8438
1.8375 -4.9092 3.8939
5.6469 5.1469 3.8241
Ho Ni Sb
8 2 2
direct
0.5619 0.2500 0.4121
0.4381 0.7500 0.5879
0.6005 0.2500 0.8770
0.3995 0.7500 0.1230
0.9887 0.0009 0.2925
0.0113 0.5009 0.7075
0.9887 0.4991 0.2925
0.0113 0.9991 0.7075
0.2502 0.2500 0.5653
0.7498 0.7500 0.4347
0.2096 0.2500 0.0484
0.7904 0.7500 0.9516
```

Computed, not measured: a geometry-optimized HoNi5Sb structure at the PBE-GGA level of DFT.

Calculated values
formation energy without anion corrections = -371 meV per atom

POSCAR file:
```
HoNi5Sb
1.0
4.9281 0.0000 0.0000
0.0000 7.9940 0.0000
0.0000 0.0000 10.1400
Ho Ni Sb
4 20 4
direct
0.2500 0.2538 0.9425
0.7500 0.2462 0.4425
0.2500 0.7538 0.5575
0.7500 0.7462 0.0575
0.2500 0.5888 0.0193
0.7500 0.9112 0.5193
0.2500 0.0888 0.4807
0.7500 0.4112 0.9807
0.7500 0.3163 0.7496
0.2500 0.1837 0.2496
0.7500 0.8163 0.7504
0.2500 0.6837 0.2504
0.2500 0.9388 0.0949
0.7500 0.5612 0.5949
0.2500 0.4388 0.4051
0.7500 0.0612 0.9051
0.9991 0.4331 0.1917
0.0009 0.0669 0.6917
0.5009 0.9331 0.3083
0.4991 0.5669 0.8083
0.0009 0.5669 0.8083
0.9991 0.9331 0.3083
0.4991 0.0669 0.6917
0.5009 0.4331 0.1917
0.2500 0.8562 0.8573
0.7500 0.6438 0.3573
0.2500 0.3562 0.6427
0.7500 0.1438 0.1427
```

Computed, not measured: a geometry-optimized Ho3Sc3Ni4 structure at the PBE-GGA level of DFT.

Calculated values
energy relative to the elements = -323 kJ/mol of formula units

POSCAR file:
```
Ho3Sc3Ni4
1.0
-0.4333 -3.5103 -1.1491
6.5042 -1.7154 2.7876
-3.1912 -1.6771 6.3263
Ho Sc Ni
3 3 4
direct
0.0000 0.5054 0.0015
0.0000 0.9985 0.4946
0.5000 0.1568 0.8432
0.5000 0.8356 0.1644
0.5000 0.3437 0.3395
0.5000 0.6605 0.6563
0.0000 0.6300 0.3700
0.0000 0.3823 0.6177
0.0000 0.8636 0.8763
0.0000 0.1237 0.1364
```

Computed, not measured: a geometry-optimized HoScNi2 structure at the PBE-GGA level of DFT.

Calculated values
energy relative to the elements = -169 kJ/mol of formula units
energy above the most stable polymorph in this dataset = 0.0268 eV/atom

POSCAR file:
```
HoScNi2
1.0
-0.4690 -2.7268 1.6948
3.2106 -0.3882 0.2637
-0.0384 3.4969 5.6156
Sc Ni Ho
1 2 1
direct
0.5000 0.5000 0.0000
0.0000 0.0000 0.7733
0.0000 0.0000 0.2267
0.5000 0.5000 0.5000
```

Computed, not measured: a geometry-optimized HoSc6Ni3 structure at the PBE-GGA level of DFT.

Calculated values
energy relative to the elements = -260 kJ/mol of formula units

POSCAR file:
```
HoSc6Ni3
1.0
6.7204 0.0000 0.0000
0.0000 7.8275 -1.1281
0.0000 -0.1611 7.9067
Ho Sc Ni
2 12 6
direct
0.0473 0.3156 0.6844
0.5473 0.6844 0.3156
0.1671 0.7115 0.6321
0.6671 0.6321 0.7115
0.3176 0.5866 0.9589
0.8176 0.9589 0.5866
0.1739 0.0265 0.9735
0.5114 0.2280 0.7720
0.0114 0.7720 0.2280
0.6739 0.9735 0.0265
0.3176 0.0411 0.4134
0.8176 0.4134 0.0411
0.1671 0.3679 0.2885
0.6671 0.2885 0.3679
0.4503 0.9142 0.6945
0.9503 0.6945 0.9142
0.3827 0.4243 0.5757
0.8827 0.5757 0.4243
0.9503 0.0858 0.3055
0.4503 0.3055 0.0858
```

Computed, not measured: a geometry-optimized Ho2Sc3Ni2 structure at the PBE-GGA level of DFT.

Calculated values
energy relative to the elements = -156 kJ/mol of formula units
energy above the most stable polymorph in this dataset = 0.0466 eV/atom

POSCAR file:
```
Ho2Sc3Ni2
1.0
-3.5549 -2.4731 1.1634
1.6532 -0.8722 -5.4440
3.9854 -3.5233 4.6886
Ho Sc Ni
2 3 2
direct
0.8599 0.7197 0.1956
0.1401 0.2803 0.8044
0.5000 0.0000 0.0000
0.6416 0.2831 0.4609
0.3584 0.7169 0.5391
0.8687 0.7374 0.7937
0.1313 0.2626 0.2063
```

Computed, not measured: a geometry-optimized HoSc2Ni structure at the PBE-GGA level of DFT.

Calculated values
energy relative to the elements = -34 kJ/mol of formula units
energy above the most stable polymorph in this dataset = 0.1753 eV/atom

POSCAR file:
```
HoSc2Ni
1.0
3.5954 0.0000 0.0000
1.7977 3.1137 0.0000
1.7977 1.0379 8.4164
Ho Sc Ni
1 2 1
direct
0.5018 0.5018 0.4947
0.0580 0.0580 0.8259
0.2744 0.2744 0.1769
0.6658 0.6658 0.0025
```

Computed, not measured: a geometry-optimized HoSc2Ni structure at the PBE-GGA level of DFT.

Calculated values
energy relative to the elements = -76 kJ/mol of formula units
energy above the most stable polymorph in this dataset = 0.0659 eV/atom

POSCAR file:
```
HoSc2Ni
1.0
-0.2058 -2.9696 -1.2935
2.4480 -0.9914 1.8864
-5.3919 -2.1761 5.8534
Sc Ni Ho
2 1 1
direct
0.0000 0.0000 0.8160
0.0000 0.0000 0.1840
0.5000 0.5000 0.0000
0.5000 0.5000 0.5000
```